Entry 1:
Density functional theory data (PBE-GGA) for a relaxed structure of Cu2SiNi.

E_tot = -4.950 eV/atom
Formation energy (no corrections) = -2.314 kcal/mol of atoms
Symmetry = No. 10
Mass density = 7.55 g/cm3

Cell and atoms, written as POSCAR:
```
Cu2SiNi
1.0
4.3244 0.0000 0.0000
0.0000 2.5525 -0.0115
0.0000 0.2312 4.2625
Cu Ni Si
2 1 1
direct
0.0000 0.9770 0.9992
0.0000 0.5230 0.5008
0.5000 0.2500 0.2500
0.5000 0.7500 0.7500
```



Entry 2:
Density functional theory data (PBE-GGA) for a relaxed structure of Zn3InO3.

E_tot = -4.002 eV/atom
Formation energy (no corrections) = -21.675 kcal/mol of atoms
Symmetry = No. 223
Mass density = 5.96 g/cm3

Cell and atoms, written as POSCAR:
```
Zn3InO3
1.0
-1.4450 -5.1612 -2.3379
-1.4377 -1.9998 5.3034
-5.4806 1.8854 -0.7749
Zn In O
6 2 6
direct
0.2500 0.0000 0.5000
0.7500 0.0000 0.5000
0.0000 0.5000 0.2500
0.0000 0.5000 0.7500
0.5000 0.2500 0.0000
0.5000 0.7500 0.0000
0.0000 0.0000 0.0000
0.5000 0.5000 0.5000
0.2500 0.5000 0.0000
0.7500 0.5000 0.0000
0.5000 0.0000 0.2500
0.5000 0.0000 0.7500
0.0000 0.2500 0.5000
0.0000 0.7500 0.5000
```



Entry 3:
Density functional theory data (PBE-GGA) for a relaxed structure of LuZrPb.

Energy of formation = -0.1620 eV/atom
E_tot = -5.755 eV/atom
Symmetry = No. 107
Mass density = 10.30 g/cm3

Cell and atoms, written as POSCAR:
```
LuZrPb
1.0
3.7311 0.0000 0.0000
0.0000 3.7311 0.0000
-1.8656 -1.8656 5.4833
Pb Lu Zr
1 1 1
direct
0.2780 0.2780 0.5561
0.9505 0.9505 0.9010
0.6215 0.6215 0.2430
```



Entry 4:
Density functional theory data (PBE-GGA) for a relaxed structure of Cs5KHg8.

Energy of formation = -0.2014 eV/atom
E_tot = -0.757 eV/atom
Symmetry = No. 82
Mass density = 5.56 g/cm3

Cell and atoms, written as POSCAR:
```
Cs5KHg8
1.0
-6.6563 -3.0439 -6.2839
8.9802 -2.3748 -2.6031
-1.8183 -4.2065 8.4887
Cs K Hg
5 1 8
direct
0.8813 0.2321 0.8540
0.7679 0.6219 0.6492
0.3781 0.0274 0.1460
0.5000 0.5000 0.0000
0.9726 0.1187 0.3508
0.2500 0.7500 0.5000
0.9687 0.6847 0.1169
0.3153 0.4322 0.2839
0.5867 0.8246 0.4069
0.1754 0.5823 0.7620
0.8202 0.4133 0.2380
0.1483 0.0313 0.7161
0.5678 0.8517 0.8831
0.4177 0.1798 0.5931
```



Entry 5:
Density functional theory data (PBE-GGA) for a relaxed structure of HfB4Os.

Energy of formation = -0.4934 eV/atom
E_tot = -8.476 eV/atom
Symmetry = No. 55
Mass density = 11.87 g/cm3

Cell and atoms, written as POSCAR:
```
HfB4Os
1.0
3.4693 0.0000 0.0000
0.0000 5.8480 0.0000
0.0000 0.0000 11.3621
Hf B Os
4 16 4
direct
0.0000 0.6302 0.3502
0.0000 0.3698 0.6498
0.0000 0.1302 0.1498
0.0000 0.8698 0.8502
0.5000 0.7978 0.1879
0.5000 0.2022 0.8121
0.5000 0.2978 0.3121
0.5000 0.7022 0.6879
0.5000 0.8685 0.0303
0.5000 0.1315 0.9697
0.5000 0.3685 0.4697
0.5000 0.6315 0.5303
0.5000 0.8841 0.4521
0.5000 0.1159 0.5479
0.5000 0.3841 0.0479
0.5000 0.6159 0.9521
0.5000 0.9727 0.3060
0.5000 0.0273 0.6940
0.5000 0.4727 0.1940
0.5000 0.5273 0.8060
0.0000 0.6428 0.0976
0.0000 0.3572 0.9024
0.0000 0.1428 0.4024
0.0000 0.8572 0.5976
```



Entry 6:
Density functional theory data (PBE-GGA) for a relaxed structure of BeHg2Br.

E_tot = -1.267 eV/atom
Formation energy (no corrections) = 5.395 kcal/mol of atoms
Symmetry = No. 99
Mass density = 8.52 g/cm3

Cell and atoms, written as POSCAR:
```
BeHg2Br
1.0
-2.5655 -1.9108 -0.4635
1.9176 -2.2631 -1.2841
1.2297 -3.6619 8.2901
Be Hg Br
1 2 1
direct
0.0000 0.0000 0.5111
0.0000 0.0000 0.0230
0.5000 0.5000 0.3126
0.5000 0.5000 0.6533
```